1.
Here is a relaxed Sr2GaTeSe crystal from Alexandria. Energies are from PBE-GGA.

- N(E_F) (states/eV/cell) = 1.841
- energy relative to the elements, uncorrected (eV/atom) = -0.54
- uncorrected energy (eV/atom) = -3.143
- V (Å³ per atom) = 39.66

```
data_Sr2GaTeSe
_chemical_formula_sum 'Sr2 Ga1 Te1 Se1'
_symmetry_space_group_name_H-M 'P 4/m m m'
_symmetry_Int_Tables_number 123
_symmetry_space_group_name_Hall '-P 4 2'
_cell_length_a 5.794
_cell_length_b 5.794
_cell_length_c 5.906
_cell_angle_alpha 90.00
_cell_angle_beta 90.00
_cell_angle_gamma 90.00
loop_
_atom_site_label
_atom_site_type_symbol
_atom_site_fract_x
_atom_site_fract_y
_atom_site_fract_z
_atom_site_occupancy
Sr1 Sr 0.000 0.500 0.000 1
Ga1 Ga 0.000 0.000 0.500 1
Te1 Te 0.500 0.500 0.500 1
Se1 Se 0.500 0.500 0.000 1
```

=====

2.
Here is a relaxed Rb2YBeI6 crystal from Alexandria. Energies are from PBE-GGA.

- N(E_F) (states/eV/cell) = 0.720
- energy relative to the elements, uncorrected (eV/atom) = -0.97
- uncorrected energy (eV/atom) = -3.111
- V (Å³ per atom) = 41.78

```
data_Rb2YBeI6
_chemical_formula_sum 'Rb4 Y2 Be2 I12'
_symmetry_space_group_name_H-M 'I 4/m m m'
_symmetry_Int_Tables_number 139
_symmetry_space_group_name_Hall '-I 4 2'
_cell_length_a 8.387
_cell_length_b 8.387
_cell_length_c 11.879
_cell_angle_alpha 90.00
_cell_angle_beta 90.00
_cell_angle_gamma 90.00
loop_
_atom_site_label
_atom_site_type_symbol
_atom_site_fract_x
_atom_site_fract_y
_atom_site_fract_z
_atom_site_occupancy
Rb1 Rb 0.000 0.500 0.250 1
Y1 Y 0.000 0.000 0.000 1
Be1 Be 0.000 0.000 0.500 1
I1 I 0.000 0.000 0.256 1
I2 I 0.243 0.243 0.500 1
```

=====

3.
Here is a relaxed KLa2Re crystal from Alexandria. Energies are from PBE-GGA.

- N(E_F) (states/eV/cell) = 9.270
- energy relative to the lowest polymorph listed for this composition (eV per atom) = 0.7164
- uncorrected energy (eV/atom) = -4.884
- DFT formation energy (eV per atom) = 0.9661
- V (Å³ per atom) = 27.21

```
data_KLa2Re
_chemical_formula_sum 'K2 La4 Re2'
_symmetry_space_group_name_H-M 'I -4 m 2'
_symmetry_Int_Tables_number 119
_symmetry_space_group_name_Hall 'I -4 -2'
_cell_length_a 4.589
_cell_length_b 4.589
_cell_length_c 10.336
_cell_angle_alpha 90.00
_cell_angle_beta 90.00
_cell_angle_gamma 90.00
loop_
_atom_site_label
_atom_site_type_symbol
_atom_site_fract_x
_atom_site_fract_y
_atom_site_fract_z
_atom_site_occupancy
K1 K 0.000 0.000 0.000 1
La1 La 0.000 0.000 0.500 1
La2 La 0.000 0.500 0.750 1
Re1 Re 0.000 0.500 0.250 1
```

=====

4.
Here is a relaxed SiAsNO2 crystal from Alexandria. Energies are from PBE-GGA.

- N(E_F) (states/eV/cell) = 0.699
- energy relative to the elements, uncorrected (eV/atom) = 0.13
- uncorrected energy (eV/atom) = -5.533
- V (Å³ per atom) = 10.67

```
data_SiAsNO2
_chemical_formula_sum 'Si1 As1 N1 O2'
_symmetry_space_group_name_H-M 'P 4/m m m'
_symmetry_Int_Tables_number 123
_symmetry_space_group_name_Hall '-P 4 2'
_cell_length_a 3.714
_cell_length_b 3.714
_cell_length_c 3.866
_cell_angle_alpha 90.00
_cell_angle_beta 90.00
_cell_angle_gamma 90.00
loop_
_atom_site_label
_atom_site_type_symbol
_atom_site_fract_x
_atom_site_fract_y
_atom_site_fract_z
_atom_site_occupancy
Si1 Si 0.000 0.000 0.000 1
As1 As 0.500 0.500 0.500 1
N1 N 0.500 0.500 0.000 1
O1 O 0.000 0.500 0.500 1
```

=====

5.
Here is a relaxed YPu2Pt crystal from Alexandria. Energies are from PBE-GGA.

- N(E_F) (states/eV/cell) = 57.168
- uncorrected energy (eV/atom) = -10.453
- DFT formation energy (eV per atom) = -0.1607
- V (Å³ per atom) = 28.52

```
data_YPu2Pt
_chemical_formula_sum 'Y3 Pu6 Pt3'
_symmetry_space_group_name_H-M 'R -3 m'
_symmetry_Int_Tables_number 166
_symmetry_space_group_name_Hall '-R 3 2"'
_cell_length_a 3.7245
_cell_length_b 3.7245
_cell_length_c 28.4925
_cell_angle_alpha 90.00
_cell_angle_beta 90.00
_cell_angle_gamma 120.00
loop_
_atom_site_label
_atom_site_type_symbol
_atom_site_fract_x
_atom_site_fract_y
_atom_site_fract_z
_atom_site_occupancy
Y1 Y 0.0000 0.0000 0.0000 1
Pu1 Pu 0.0000 0.0000 0.2324 1
Pt1 Pt 0.0000 0.0000 0.5000 1
```

=====

6.
Here is a relaxed YV2Ga2 crystal from Alexandria. Energies are from PBE-GGA.

- N(E_F) (states/eV/cell) = 8.141
- energy relative to the lowest polymorph listed for this composition (eV per atom) = 0.2579
- uncorrected energy (eV/atom) = -6.179
- DFT formation energy (eV per atom) = -0.0285
- V (Å³ per atom) = 18.45

```
data_YV2Ga2
_chemical_formula_sum 'Y2 V4 Ga4'
_symmetry_space_group_name_H-M 'I 4/m m m'
_symmetry_Int_Tables_number 139
_symmetry_space_group_name_Hall '-I 4 2'
_cell_length_a 4.295
_cell_length_b 4.295
_cell_length_c 10.000
_cell_angle_alpha 90.00
_cell_angle_beta 90.00
_cell_angle_gamma 90.00
loop_
_atom_site_label
_atom_site_type_symbol
_atom_site_fract_x
_atom_site_fract_y
_atom_site_fract_z
_atom_site_occupancy
Y1 Y 0.000 0.000 0.000 1
V1 V 0.000 0.000 0.406 1
Ga1 Ga 0.000 0.500 0.250 1
```

=====

7.
Here is a relaxed Mg3BRh crystal from Alexandria. Energies are from PBE-GGA.

- N(E_F) (states/eV/cell) = 2.307
- energy relative to the lowest polymorph listed for this composition (eV per atom) = 0.4882
- uncorrected energy (eV/atom) = -2.932
- DFT formation energy (eV per atom) = 0.8307
- V (Å³ per atom) = 22.93

```
data_Mg3BRh
_chemical_formula_sum 'Mg3 B1 Rh1'
_symmetry_space_group_name_H-M 'P m -3 m'
_symmetry_Int_Tables_number 221
_symmetry_space_group_name_Hall '-P 4 2 3'
_cell_length_a 4.858
_cell_length_b 4.858
_cell_length_c 4.858
_cell_angle_alpha 90.00
_cell_angle_beta 90.00
_cell_angle_gamma 90.00
loop_
_atom_site_label
_atom_site_type_symbol
_atom_site_fract_x
_atom_site_fract_y
_atom_site_fract_z
_atom_site_occupancy
Mg1 Mg 0.000 0.000 0.500 1
B1 B 0.500 0.500 0.500 1
Rh1 Rh 0.000 0.000 0.000 1
```

=====

8.
Here is a relaxed Rb2PuCdS4 crystal from Alexandria. Energies are from PBE-GGA.

- N(E_F) (states/eV/cell) = 9.542
- energy relative to the elements, uncorrected (eV/atom) = -1.14
- uncorrected energy (eV/atom) = -5.353
- V (Å³ per atom) = 27.49

```
data_Rb2PuCdS4
_chemical_formula_sum 'Rb2 Pu1 Cd1 S4'
_symmetry_space_group_name_H-M 'P 1 2/m 1'
_symmetry_Int_Tables_number 10
_cell_length_a 7.076
_cell_length_b 4.083
_cell_length_c 8.029
_cell_angle_alpha 90.00
_cell_angle_beta 108.59
_cell_angle_gamma 90.00
loop_
_symmetry_equiv_pos_as_xyz
'x,y,z'
'-x,-y,-z'
'-x,y,-z'
'x,-y,z'
loop_
_atom_site_label
_atom_site_type_symbol
_atom_site_fract_x
_atom_site_fract_y
_atom_site_fract_z
_atom_site_occupancy
Rb1 Rb 0.000 0.000 0.000 1
Rb2 Rb 0.500 0.500 0.000 1
Pu1 Pu 0.000 0.500 0.500 1
Cd1 Cd 0.500 0.000 0.500 1
S1 S 0.211 0.000 0.696 1
S2 S 0.265 0.500 0.318 1
```